(1)
! BaSc2Cr PBE optimized geometry; values from VASP
! Symmetry ... Pm
! Total magnetic moment ... 2.22 Bohr magnetons per cell
! Density ... 3.95 Mg/m³
! Energy of formation from the pure elements ... 0.5010 eV/atom
&SYSTEM
  ibrav = 0, nat = 4, ntyp = 3
/
ATOMIC_SPECIES
Ba 137.33 Ba.upf
Cr 52.00 Cr.upf
Sc 44.96 Sc.upf
ATOMIC_POSITIONS angstrom
Ba 0.0000 2.6693 3.7435
Cr 2.4600 4.3220 5.8143
Sc 0.0000 4.2835 7.0552
Sc 2.4600 1.0414 1.1057
CELL_PARAMETERS angstrom
4.9201 0.0000 0.0000
0.0000 3.4499 0.1230
0.0000 1.4766 6.9645

(2)
! BaSc2Cr PBE optimized geometry; values from VASP
! Symmetry ... Fd-3m
! Total magnetic moment ... 0.00 Bohr magnetons per cell
! Density ... 3.41 Mg/m³
! Energy of formation from the pure elements ... 0.7271 eV/atom
&SYSTEM
  ibrav = 0, nat = 8, ntyp = 3
/
ATOMIC_SPECIES
Sc 44.96 Sc.upf
Ba 137.33 Ba.upf
Cr 52.00 Cr.upf
ATOMIC_POSITIONS angstrom
Sc 3.4191 -5.7371 0.1638
Sc 5.7900 -9.9721 4.1784
Sc 1.5331 -3.3468 2.1522
Ba 3.0663 -6.6936 4.3044
Cr 5.4474 -6.5571 -0.2519
Sc 6.2852 -7.4453 1.6105
Ba 0.0000 0.0000 0.0000
Cr 1.3908 -4.9171 0.5796
CELL_PARAMETERS angstrom
-0.9903 -5.0536 5.1359
3.7719 -4.7807 -3.9767
5.7321 -3.4165 2.8933

(3)
! BaScCr PBE optimized geometry; values from VASP
! Symmetry ... P3m1
! Total magnetic moment ... 3.77 Bohr magnetons per cell
! Density ... 4.28 Mg/m³
! Energy of formation from the pure elements ... 0.7784 eV/atom
&SYSTEM
  ibrav = 0, nat = 3, ntyp = 3
/
ATOMIC_SPECIES
Ba 137.33 Ba.upf
Cr 52.00 Cr.upf
Sc 44.96 Sc.upf
ATOMIC_POSITIONS angstrom
Ba 0.0000 0.0000 0.0051
Cr 2.6718 1.5425 1.7869
Sc 0.0000 3.0851 1.8821
CELL_PARAMETERS angstrom
5.3435 0.0000 0.0000
-2.6718 4.6276 0.0000
0.0000 0.0000 3.6740

(4)
! Ba2ScCrW PBE optimized geometry; values from VASP
! Symmetry ... P4/mmm
! Total magnetic moment ... 0.00 Bohr magnetons per cell
! Density ... 6.14 Mg/m³
! Energy of formation from the pure elements ... 1.8806 eV/atom
&SYSTEM
  ibrav = 0, nat = 5, ntyp = 4
/
ATOMIC_SPECIES
Ba 137.33 Ba.upf
Sc 44.96 Sc.upf
W 183.84 W.upf
Cr 52.00 Cr.upf
ATOMIC_POSITIONS angstrom
Ba -2.4371 -1.2451 -0.6264
Sc 1.1817 -1.8130 -0.9938
W -1.2126 -4.3860 0.8530
Ba 0.0427 -1.3279 2.4732
Cr 0.0000 0.0000 0.0000
CELL_PARAMETERS angstrom
-4.8741 -2.4902 -1.2528
2.3635 -3.6261 -1.9876
0.0854 -2.6557 4.9465

(5)
! BaCr5Se8 PBE optimized geometry; values from VASP
! Symmetry ... Cm
! ΔE_f (raw) ... -962 kJ/mol of formula units
! Total magnetic moment ... 15.92 Bohr magnetons per cell
! Density ... 5.60 Mg/m³
&SYSTEM
  ibrav = 0, nat = 14, ntyp = 3
/
ATOMIC_SPECIES
Cr 52.00 Cr.upf
Se 78.96 Se.upf
Ba 137.33 Ba.upf
ATOMIC_POSITIONS angstrom
Cr 0.3322 6.3547 0.0764
Se -1.7274 2.2194 3.7328
Se -0.3052 4.1123 1.0951
Se -3.1263 0.0566 6.2920
Se -3.2916 5.3708 2.9896
Se -2.2320 1.1543 0.3654
Se -1.8928 7.5279 0.4300
Ba -1.3434 8.3993 3.6845
Cr -0.0005 0.0009 0.0011
Se -4.7132 3.4733 5.6254
Cr -2.7519 3.2839 1.6601
Cr -2.2673 4.3047 5.0624
Se -2.7888 6.4323 6.3600
Cr -5.3511 1.2300 6.6451
CELL_PARAMETERS angstrom
-3.3857 0.1972 -1.6841
-3.9679 -1.8413 7.7617
2.3342 9.2296 0.6450

(6)
! BaCrSe2 PBE optimized geometry; values from VASP
! Symmetry ... P4/mmm
! ΔE_f (raw) ... -236 kJ/mol of formula units
! Total magnetic moment ... 4.00 Bohr magnetons per cell
! Density ... 5.76 Mg/m³
&SYSTEM
  ibrav = 0, nat = 4, ntyp = 3
/
ATOMIC_SPECIES
Se 78.96 Se.upf
Cr 52.00 Cr.upf
Ba 137.33 Ba.upf
ATOMIC_POSITIONS angstrom
Se -6.2592 3.5529 0.1997
Se -3.4993 1.9863 0.1117
Cr -6.0903 0.6892 -0.7878
Ba -2.8374 -1.1572 -0.8916
CELL_PARAMETERS angstrom
-0.8032 -1.2266 -3.3497
-1.6189 -2.9342 1.4627
-6.5057 3.6928 0.2076

(7)
! BaCrSe2 PBE optimized geometry; values from VASP
! Symmetry ... I-4m2
! ΔE_f (raw) ... -186 kJ/mol of formula units
! Total magnetic moment ... 4.09 Bohr magnetons per cell
! Density ... 5.12 Mg/m³
&SYSTEM
  ibrav = 0, nat = 4, ntyp = 3
/
ATOMIC_SPECIES
Se 78.96 Se.upf
Ba 137.33 Ba.upf
Cr 52.00 Cr.upf
ATOMIC_POSITIONS angstrom
Se 0.5292 -2.9533 -2.1520
Se 0.0000 0.0000 0.0000
Ba -2.7527 -3.9978 -3.4829
Cr -1.6580 -3.2990 -0.0265
CELL_PARAMETERS angstrom
-4.9399 -4.3435 -1.3574
-0.5655 -3.6521 -5.6083
4.3766 1.7433 4.7873

(8)
! Ba2CrSe4 PBE optimized geometry; values from VASP
! Symmetry ... Pnma
! ΔE_f (raw) ... -899 kJ/mol of formula units
! Total magnetic moment ... 8.00 Bohr magnetons per cell
! Density ... 4.99 Mg/m³
&SYSTEM
  ibrav = 0, nat = 28, ntyp = 3
/
ATOMIC_SPECIES
Se 78.96 Se.upf
Cr 52.00 Cr.upf
Ba 137.33 Ba.upf
ATOMIC_POSITIONS angstrom
Se 1.7520 7.7126 7.6605
Se 3.4333 6.3369 10.9318
Se 5.2561 6.5272 1.2366
Cr 5.2561 7.3320 11.9023
Ba 5.2561 3.5344 11.7880
Ba 1.7520 9.2774 10.7355
Ba 5.2561 0.2158 2.1123
Se 3.5748 7.9029 4.5079
Ba 5.2561 8.2810 7.4837
Cr 1.7520 2.1612 0.9455
Se 1.7520 4.6091 5.1543
Cr 1.7520 6.9078 5.4784
Se 0.0708 1.5903 8.3399
Se 5.2561 0.1375 11.5783
Ba 1.7520 5.9587 1.0598
Se 5.2561 1.7806 5.1873
Ba 1.7520 4.5308 8.5362
Cr 5.2561 2.5854 7.3694
Se 1.7520 2.9660 11.6112
Ba 5.2561 4.9624 4.3116
Se 3.5748 3.1563 1.9160
Se 5.2561 4.8841 7.6935
Se 0.0708 6.3369 10.9318
Se 6.9374 3.1563 1.9160
Se 6.9374 7.9029 4.5079
Se 1.7520 9.3557 1.2696
Ba 1.7520 1.2121 5.3641
Se 3.4333 1.5903 8.3399
CELL_PARAMETERS angstrom
7.0082 0.0000 0.0000
0.0000 9.4932 0.0000
0.0000 0.0000 12.8478

(9)
! BaCrSe2 PBE optimized geometry; values from VASP
! Symmetry ... Pmmm
! ΔE_f (raw) ... -402 kJ/mol of formula units
! Total magnetic moment ... 4.00 Bohr magnetons per cell
! Density ... 4.93 Mg/m³
&SYSTEM
  ibrav = 0, nat = 4, ntyp = 3
/
ATOMIC_SPECIES
Ba 137.33 Ba.upf
Se 78.96 Se.upf
Cr 52.00 Cr.upf
ATOMIC_POSITIONS angstrom
Ba 1.8900 1.1442 1.7454
Se 0.0000 3.3723 3.5155
Se 0.0000 3.4926 6.9570
Cr 1.8900 3.4325 5.2362
CELL_PARAMETERS angstrom
3.7800 0.0000 0.0000
0.0000 4.3366 -0.1487
0.0000 0.2400 7.1304

(10)
! BaCr3Se PBE optimized geometry; values from VASP
! Symmetry ... Pm-3m
! ΔE_f (raw) ... 1098 kJ/mol of formula units
! Total magnetic moment ... 13.81 Bohr magnetons per cell
! Density ... 3.88 Mg/m³
&SYSTEM
  ibrav = 0, nat = 5, ntyp = 3
/
ATOMIC_SPECIES
Cr 52.00 Cr.upf
Ba 137.33 Ba.upf
Se 78.96 Se.upf
ATOMIC_POSITIONS angstrom
Cr -0.5740 -1.5550 2.1433
Cr -0.1803 2.2109 1.5558
Cr 2.6418 -0.1870 0.5719
Ba 0.0000 0.0000 0.0000
Se 1.8875 0.4689 4.2709
CELL_PARAMETERS angstrom
-1.1480 -3.1100 4.2865
5.2836 -0.3740 1.1437
-0.3606 4.4218 3.1116

(11)
! BaCrSe2 PBE optimized geometry; values from VASP
! Symmetry ... Immm
! ΔE_f (raw) ... -379 kJ/mol of formula units
! Total magnetic moment ... 4.00 Bohr magnetons per cell
! Density ... 5.20 Mg/m³
&SYSTEM
  ibrav = 0, nat = 4, ntyp = 3
/
ATOMIC_SPECIES
Se 78.96 Se.upf
Ba 137.33 Ba.upf
Cr 52.00 Cr.upf
ATOMIC_POSITIONS angstrom
Se -0.3749 0.1573 -0.2503
Ba -2.4580 2.6706 1.4317
Se -2.8597 1.1994 -1.9089
Cr -2.7635 -0.7993 -0.2910
CELL_PARAMETERS angstrom
-2.9292 4.8266 -0.4364
-3.5401 -2.1133 -3.8819
1.2478 -0.8421 5.4590

(12)
! BaCrSe2 PBE optimized geometry; values from VASP
! Symmetry ... Fm-3m
! ΔE_f (raw) ... -43 kJ/mol of formula units
! Total magnetic moment ... 0.00 Bohr magnetons per cell
! Density ... 6.22 Mg/m³
&SYSTEM
  ibrav = 0, nat = 4, ntyp = 3
/
ATOMIC_SPECIES
Se 78.96 Se.upf
Cr 52.00 Cr.upf
Ba 137.33 Ba.upf
ATOMIC_POSITIONS angstrom
Se 5.3873 5.3873 5.3873
Cr 0.0000 0.0000 0.0000
Se 1.7958 1.7958 1.7958
Ba 3.5915 3.5915 3.5915
CELL_PARAMETERS angstrom
0.0000 3.5915 3.5915
3.5915 0.0000 3.5915
3.5915 3.5915 0.0000

(13)
! BaCrSe2 PBE optimized geometry; values from VASP
! Symmetry ... C2/m
! ΔE_f (raw) ... -382 kJ/mol of formula units
! Total magnetic moment ... 3.98 Bohr magnetons per cell
! Density ... 5.35 Mg/m³
&SYSTEM
  ibrav = 0, nat = 4, ntyp = 3
/
ATOMIC_SPECIES
Cr 52.00 Cr.upf
Ba 137.33 Ba.upf
Se 78.96 Se.upf
ATOMIC_POSITIONS angstrom
Cr 6.1506 3.7334 5.0507
Ba 2.0502 1.2445 1.6836
Se 1.9417 1.1787 6.3347
Se 4.1444 2.5157 3.7809
CELL_PARAMETERS angstrom
4.2468 0.0094 -0.0071
1.9682 3.7632 -0.0071
1.9858 1.2054 6.7484

(14)
! BaCrSe2 PBE optimized geometry; values from VASP
! Symmetry ... P4mm
! ΔE_f (raw) ... -317 kJ/mol of formula units
! Total magnetic moment ... 4.00 Bohr magnetons per cell
! Density ... 4.81 Mg/m³
&SYSTEM
  ibrav = 0, nat = 4, ntyp = 3
/
ATOMIC_SPECIES
Se 78.96 Se.upf
Ba 137.33 Ba.upf
Cr 52.00 Cr.upf
ATOMIC_POSITIONS angstrom
Se 2.0738 2.0738 1.9195
Ba 0.0000 0.0000 2.9228
Cr 2.0738 2.0738 6.4127
Se 0.0000 0.0000 6.1743
CELL_PARAMETERS angstrom
4.1475 0.0000 0.0000
0.0000 4.1475 0.0000
0.0000 0.0000 6.9718

(15)
! BaCrSe2 PBE optimized geometry; values from VASP
! Symmetry ... R-3m
! ΔE_f (raw) ... -275 kJ/mol of formula units
! Total magnetic moment ... 4.00 Bohr magnetons per cell
! Density ... 3.33 Mg/m³
&SYSTEM
  ibrav = 0, nat = 4, ntyp = 3
/
ATOMIC_SPECIES
Ba 137.33 Ba.upf
Cr 52.00 Cr.upf
Se 78.96 Se.upf
ATOMIC_POSITIONS angstrom
Ba 11.3328 -2.4314 2.0242
Cr 0.0000 0.0000 0.0000
Se 2.2704 -0.4871 0.4055
Se 20.3952 -4.3758 3.6429
CELL_PARAMETERS angstrom
6.8504 -2.7477 3.9417
7.6115 -3.3248 -1.0126
8.2036 1.2097 1.1194

(16)
! BaCrSe2 PBE optimized geometry; values from VASP
! Symmetry ... F-43m
! ΔE_f (raw) ... -46 kJ/mol of formula units
! Total magnetic moment ... 3.99 Bohr magnetons per cell
! Density ... 5.51 Mg/m³
&SYSTEM
  ibrav = 0, nat = 4, ntyp = 3
/
ATOMIC_SPECIES
Se 78.96 Se.upf
Ba 137.33 Ba.upf
Cr 52.00 Cr.upf
ATOMIC_POSITIONS angstrom
Se 0.0000 0.0000 0.0000
Ba -3.7946 -4.4523 -2.7860
Cr -5.6919 -6.6785 -4.1790
Se -1.8973 -2.2262 -1.3930
CELL_PARAMETERS angstrom
-2.2126 -1.5556 -4.5469
-0.5618 -5.1567 -1.0403
-4.8148 -2.1924 0.0152

(17)
! BaCrSe2 PBE optimized geometry; values from VASP
! Symmetry ... Cmmm
! ΔE_f (raw) ... -302 kJ/mol of formula units
! Total magnetic moment ... 4.00 Bohr magnetons per cell
! Density ... 4.58 Mg/m³
&SYSTEM
  ibrav = 0, nat = 4, ntyp = 3
/
ATOMIC_SPECIES
Se 78.96 Se.upf
Ba 137.33 Ba.upf
Cr 52.00 Cr.upf
ATOMIC_POSITIONS angstrom
Se 2.1803 3.7556 6.1302
Se 1.2463 2.1467 3.5041
Ba -1.0986 0.3311 2.5994
Cr 0.0436 2.2986 5.8108
CELL_PARAMETERS angstrom
-3.6271 2.4870 -0.2336
0.2877 -3.7921 2.2209
2.2844 3.9349 6.4228

(18)
! BaCrSe2 PBE optimized geometry; values from VASP
! Symmetry ... P4/mmm
! ΔE_f (raw) ... -242 kJ/mol of formula units
! Total magnetic moment ... 4.00 Bohr magnetons per cell
! Density ... 5.50 Mg/m³
&SYSTEM
  ibrav = 0, nat = 4, ntyp = 3
/
ATOMIC_SPECIES
Cr 52.00 Cr.upf
Se 78.96 Se.upf
Ba 137.33 Ba.upf
ATOMIC_POSITIONS angstrom
Cr -0.5379 -1.1820 2.9699
Se 0.0000 0.0000 0.0000
Ba 2.6467 0.4012 1.8290
Se -3.0192 0.3915 4.3386
CELL_PARAMETERS angstrom
-6.2037 -1.1916 5.4794
5.1280 -1.1723 0.4603
0.1653 1.9747 3.1977

(19)
! BaCrSe2 PBE optimized geometry; values from VASP
! Symmetry ... Cm
! ΔE_f (raw) ... -363 kJ/mol of formula units
! Total magnetic moment ... 4.00 Bohr magnetons per cell
! Density ... 4.35 Mg/m³
&SYSTEM
  ibrav = 0, nat = 4, ntyp = 3
/
ATOMIC_SPECIES
Se 78.96 Se.upf
Cr 52.00 Cr.upf
Ba 137.33 Ba.upf
ATOMIC_POSITIONS angstrom
Se 11.3811 3.7555 4.3644
Cr 9.2506 3.0525 3.4590
Ba 5.9634 1.9678 1.9511
Se 2.6167 0.8634 2.3782
CELL_PARAMETERS angstrom
6.7266 -0.0145 -0.0156
5.3969 4.0150 -0.0156
-0.4388 -0.1448 4.8923

(20)
! BaCrSe2 PBE optimized geometry; values from VASP
! Symmetry ... Pm
! ΔE_f (raw) ... -400 kJ/mol of formula units
! Total magnetic moment ... 4.02 Bohr magnetons per cell
! Density ... 4.96 Mg/m³
&SYSTEM
  ibrav = 0, nat = 4, ntyp = 3
/
ATOMIC_SPECIES
Ba 137.33 Ba.upf
Cr 52.00 Cr.upf
Se 78.96 Se.upf
ATOMIC_POSITIONS angstrom
Ba 1.4980 -2.5098 0.1546
Cr 1.6180 -6.4333 -1.4518
Se 2.8657 -5.5665 0.6190
Se -1.6181 -2.5242 -1.1468
CELL_PARAMETERS angstrom
-2.4990 -1.7463 -4.1342
3.7472 -1.7168 -1.5400
-1.0022 -4.3982 2.4636

(21)
! Ba3Cr5Se12 PBE optimized geometry; values from VASP
! Symmetry ... Ia-3d
! ΔE_f (raw) ... -1571 kJ/mol of formula units
! Total magnetic moment ... 48.00 Bohr magnetons per cell
! Density ... 4.96 Mg/m³
&SYSTEM
  ibrav = 0, nat = 80, ntyp = 3
/
ATOMIC_SPECIES
Se 78.96 Se.upf
Cr 52.00 Cr.upf
Ba 137.33 Ba.upf
ATOMIC_POSITIONS angstrom
Se -4.6929 -7.0514 -3.8468
Cr -9.3497 -4.0313 4.1057
Se -7.3575 -4.3654 -3.8149
Se -2.3482 -8.7101 -1.6475
Se -5.2176 1.7020 -2.1077
Cr -4.0200 -10.1740 -0.9236
Se -0.4438 -4.7025 1.6937
Se -4.8920 -2.4047 5.7137
Se -5.6425 -10.4297 -2.5862
Cr -0.4944 -10.6596 2.5793
Se -9.9013 1.9401 3.5463
Cr 0.0000 0.0000 0.0000
Cr -10.3408 -3.6055 -0.7700
Se -0.3264 -8.4106 1.9661
Se -6.6069 3.6596 4.4850
Se -5.6115 0.6200 -5.6542
Se -4.0842 -3.9858 2.4348
Ba -5.0111 -9.7483 -5.7993
Se -8.8695 0.9935 -2.1070
Cr -3.3630 -0.5607 -6.1845
Cr 1.2517 -6.4488 2.5920
Se -8.4749 -4.4361 6.2348
Cr -1.9087 -3.1645 2.6688
Cr -2.8998 -2.7388 -2.2069
Se -7.7597 -4.7091 9.8751
Se -8.1653 -2.7843 -0.5360
Cr -8.2294 3.4040 2.8224
Cr -10.2762 0.3249 -3.8495
Se -10.7282 2.1334 -5.2592
Se -11.9231 1.6406 -0.0673
Ba -7.8708 -7.5958 0.9367
Se -4.4898 -2.0610 -7.9763
Ba -4.6704 -5.9889 9.8027
Se -6.6379 -7.3900 7.5530
Se -5.7743 -5.4988 -0.5135
Se 0.7959 -11.0742 4.4833
Ba -7.5791 -0.7812 -7.9039
Se -1.7140 -1.0871 1.6160
Se -8.1352 -7.8191 -2.3460
Se -7.0318 -8.4720 4.0065
Se -4.9813 -9.2787 1.0094
Cr -2.7617 -2.8243 7.1339
Cr -6.1247 -3.3850 0.9494
Se -9.8727 -1.7660 3.8668
Se -3.3800 -7.7635 4.0058
Se -4.5077 -2.1124 -0.6307
Ba -7.2383 2.9782 7.6981
Se -6.6686 -7.4391 -7.4774
Se -8.1188 -4.0041 -7.4382
Ba -2.9644 -6.6693 0.8726
Cr -7.3764 3.0637 -1.6426
Se -3.0493 -5.3953 6.9380
Se -10.5355 -5.6829 0.2828
Se -3.7746 -2.3340 -4.3359
Se -6.4751 -1.2712 2.4123
Ba -7.1403 -1.9985 8.0960
Se -7.7418 -4.6576 2.5295
Cr -6.4900 -6.1837 -2.6303
Cr -11.7550 3.8895 -0.6805
Se -4.1143 1.0491 4.2448
Cr -2.1114 -7.0095 -3.5924
Ba -6.5880 -1.2069 -3.0282
Se -4.1307 -2.7659 9.3370
Ba -9.2851 -0.1008 1.0262
Ba -5.6615 -5.5631 4.9270
Ba -4.3786 0.8258 0.9622
Cr -5.7595 -0.5864 4.5291
Se -3.2827 -12.5142 -5.2919
Se -1.5213 -8.9035 7.1580
Cr -4.0134 3.6244 4.5418
Cr -1.9733 -7.0950 5.7483
Se -7.2682 2.5086 0.8894
Se -9.2002 -1.3747 -5.0392
Se -7.5565 0.2813 5.7456
Se -5.5808 0.6690 9.3762
Ba -5.1091 -4.7715 -6.1972
Se -8.9668 5.7442 7.1907
Se -2.3768 -5.0041 -1.9679
Se -11.8057 -2.0676 0.2051
Se -13.0454 4.3042 -2.5845
CELL_PARAMETERS angstrom
-6.7261 -1.1214 -12.3689
2.5033 -12.8976 5.1841
-8.0267 7.2489 9.0837

(22)
! BaCrSe2 PBE optimized geometry; values from VASP
! Symmetry ... I-42d
! ΔE_f (raw) ... -414 kJ/mol of formula units
! Total magnetic moment ... 8.00 Bohr magnetons per cell
! Density ... 5.11 Mg/m³
&SYSTEM
  ibrav = 0, nat = 8, ntyp = 3
/
ATOMIC_SPECIES
Se 78.96 Se.upf
Ba 137.33 Ba.upf
Cr 52.00 Cr.upf
ATOMIC_POSITIONS angstrom
Se 5.1271 1.9154 0.9610
Se 9.5769 8.9579 2.8831
Ba 7.6615 3.8308 1.9221
Se 5.7461 6.3652 2.8831
Cr 3.8308 7.6615 1.9221
Cr 3.8308 3.8308 0.0000
Ba 0.0000 0.0000 0.0000
Se 2.5344 5.7461 0.9610
CELL_PARAMETERS angstrom
7.6615 0.0000 0.0000
0.0000 7.6615 0.0000
3.8308 3.8308 3.8442

(23)
! BaCr4Se PBE optimized geometry; values from VASP
! Symmetry ... F-43m
! ΔE_f (raw) ... 591 kJ/mol of formula units
! Total magnetic moment ... 0.00 Bohr magnetons per cell
! Density ... 6.51 Mg/m³
&SYSTEM
  ibrav = 0, nat = 6, ntyp = 3
/
ATOMIC_SPECIES
Cr 52.00 Cr.upf
Ba 137.33 Ba.upf
Se 78.96 Se.upf
ATOMIC_POSITIONS angstrom
Cr -2.6780 5.1085 4.2292
Ba 0.0000 0.0000 0.0000
Se -1.9658 7.7231 5.7465
Cr -1.0255 4.0288 2.9977
Cr -1.0608 6.3524 3.1107
Cr -0.4779 5.1052 4.9863
CELL_PARAMETERS angstrom
1.2586 2.4743 4.5712
-0.0813 5.3412 0.2599
-3.7984 2.4820 2.8309